Density functional theory data (GGA+U) for a relaxed structure of BaCaMnSnO6.

Computed properties:
**Calculated volume**: 129 Å³ per cell
**VASP energy**: -65.3 eV/cell
**Density of states at the Fermi level**: 0.22 states/eV/atom

abc: 5.673 5.673 5.673
angles: 60.00 60.00 60.00
Atoms (fractional coordinates):
O  0.242  0.242  0.758
O  0.758  0.242  0.242
O  0.242  0.758  0.758
O  0.758  0.242  0.758
O  0.758  0.758  0.242
O  0.242  0.758  0.242
Ba  0.750  0.750  0.750
Ca  0.250  0.250  0.250
Sn  0.500  0.500  0.500
Mn  0.000  0.000  0.000